Y2CoBr | meta-GGA SCAN | PBEsol geometry

Calculated values
Space-group type: F-43m
Formation energy without anion corrections in eV/atom: 0.5341
Magnetization in μB per formula unit: 0.62
Calculated volume in Å³/atom: 20.5
Energy above the lowest structure with this stoichiometry in kJ/mol of atoms: 124.39

Unit cell a=4.877 b=4.877 c=4.877 alpha=60.00 beta=60.00 gamma=60.00
Element x y z (fractional)
1 Y 0.000 0.000 0.000
2 Y 0.750 0.750 0.750
3 Co 0.250 0.250 0.250
4 Br 0.500 0.500 0.500